First-principles (PBE) data for a relaxed MgTc2Rh crystal, as listed in the Alexandria database.

Total moment (μB per atom): 0.00
Space group: I-42d, No. 122
Final energy (eV/atom): -6.830
Formation enthalpy at 0 K (eV/atom): 0.589

a b c (Å): 7.4249 7.4249 5.8057
angles (deg): 50.25 50.25 90.00
Closest atoms and distances in Å follow each position.
Atoms (fractional coordinates):
Rh 0.7500 0.2500 0.5000  2 Mg 2.48, 4 Tc 2.49
Rh 0.0000 0.0000 0.0000  2 Mg 2.48, 4 Tc 2.49
Mg 0.5000 0.5000 0.0000  2 Rh 2.48
Mg 0.2500 0.7500 0.5000  2 Rh 2.48
Tc 0.3750 0.3314 0.7500  2 Rh 2.49, 2 Tc 2.56
Tc 0.8750 0.9186 0.7500  2 Rh 2.49, 2 Tc 2.56
Tc 0.0814 0.6250 0.2500  2 Rh 2.49, 2 Tc 2.56
Tc 0.6686 0.1250 0.2500  2 Rh 2.49, 2 Tc 2.56